12
Lattice="4.292 2.478 6.774 -4.292 2.478 6.774 0.000 -4.957 6.774" Properties=species:S:1:pos:R:3 comment="Ac8Co3S | Alexandria via LeMat-Bulk | PBE | relaxed" mass_density_g_cm3=7.8 raw_formation_energy_ev_per_atom=-0.31 pbc="T T T"
Ac -2.253 -1.300 11.768
Ac 0.000 0.000 4.927
Ac 0.000 -2.601 8.553
Ac -2.253 1.300 8.553
Ac 2.253 -1.300 11.768
Ac 0.000 2.601 11.768
Ac 0.000 0.000 15.394
Ac 2.253 1.300 8.553
Co -4.292 0.000 10.161
Co -2.146 1.239 3.387
Co 2.146 1.239 3.387
S 0.000 0.000 10.161

***

11
Lattice="6.604 -4.944 0.000 6.604 4.944 0.000 -0.308 0.000 6.281" Properties=species:S:1:pos:R:3 comment="Ac8Co2S | Alexandria via LeMat-Bulk | PBE | relaxed" mass_density_g_cm3=8.0 raw_formation_energy_ev_per_atom=-0.27 pbc="T T T"
Ac 4.969 2.740 4.735
Ac 2.253 0.000 4.684
Ac 7.931 2.740 1.547
Ac 4.923 0.000 1.746
Ac 7.977 0.000 4.536
Ac 4.969 -2.740 4.735
Ac 10.647 0.000 1.597
Ac 7.931 -2.740 1.547
Co 5.293 0.000 5.202
Co 7.607 0.000 1.080
S 0.000 0.000 0.000

***

4
Lattice="2.083 1.203 5.592 -2.083 1.203 5.592 0.000 -2.405 5.592" Properties=species:S:1:pos:R:3 comment="AcCoS2 | Alexandria via LeMat-Bulk | PBE | relaxed" mass_density_g_cm3=6.9 raw_formation_energy_ev_per_atom=-1.06 pbc="T T T"
Ac 0.000 0.000 0.000
Co 0.000 0.000 8.388
S 0.000 0.000 3.883
S 0.000 0.000 12.894

***

20
Lattice="6.671 0.000 0.000 0.000 9.441 0.000 0.000 0.000 6.674" Properties=species:S:1:pos:R:3 comment="Ac2ScCoS6 | Alexandria via LeMat-Bulk | PBE | relaxed" mass_density_g_cm3=5.9 raw_formation_energy_ev_per_atom=-1.51 pbc="T T T"
Ac 1.668 9.438 1.642
Ac 1.668 4.724 1.642
Ac 5.004 0.003 5.031
Ac 5.004 4.717 5.031
Sc 1.668 2.360 4.984
Sc 5.004 7.081 1.690
Co 1.668 7.081 5.011
Co 5.004 2.360 1.663
S 0.077 7.081 6.592
S 0.090 7.081 3.421
S 1.668 4.839 5.034
S 1.668 9.323 5.034
S 3.246 7.081 3.421
S 3.259 7.081 6.592
S 3.413 2.360 0.082
S 3.426 2.360 3.253
S 5.004 0.118 1.640
S 5.004 4.602 1.640
S 6.581 2.360 3.253
S 6.594 2.360 0.082

***

16
Lattice="4.384 2.531 7.269 -4.384 2.531 7.269 0.000 -5.062 7.269" Properties=species:S:1:pos:R:3 comment="Ac8CoSe4S3 | Alexandria via LeMat-Bulk | PBE | relaxed" mass_density_g_cm3=7.8 raw_formation_energy_ev_per_atom=-1.67 pbc="T T T"
Ac 0.000 0.000 5.361
Ac -2.115 -1.221 12.578
Ac 0.000 -2.442 9.231
Ac -2.115 1.221 9.231
Ac 2.115 -1.221 12.578
Ac 0.000 2.442 12.578
Ac 2.115 1.221 9.231
Ac 0.000 0.000 16.448
Co 0.000 0.000 10.904
Se 0.000 0.000 0.000
Se -2.192 -1.265 7.269
Se -2.192 1.265 14.539
Se 0.000 2.531 7.269
S -4.384 0.000 10.904
S -2.192 1.265 3.635
S 2.192 1.265 3.635

***

12
Lattice="3.835 -6.609 0.000 3.835 6.609 0.000 -2.535 0.000 7.043" Properties=species:S:1:pos:R:3 comment="Ac6CoSe2S3 | Alexandria via LeMat-Bulk | PBE | relaxed" mass_density_g_cm3=7.8 raw_formation_energy_ev_per_atom=-1.58 pbc="T T T"
Ac -0.057 2.080 5.278
Ac 1.130 0.000 1.764
Ac -0.057 -2.080 5.278
Ac 5.193 2.080 1.765
Ac 4.006 0.000 5.279
Ac 5.193 -2.080 1.765
Co -1.267 0.000 3.521
Se 2.568 2.194 3.521
Se 2.568 -2.194 3.521
S 3.835 4.282 0.000
S 3.835 0.000 0.000
S 3.835 -4.282 0.000